Entry from Alexandria: a relaxed AlCuSi crystal (PBE-GGA).

Calculated values
Fermi-level density of states = 0.34 states/eV/atom
SG = Pbcm (57)
Mass density = 4.5 g/cm³
Electronic total energy = -4.27 eV/atom

a = 4.0680 Å, b = 9.0877 Å, c = 4.7846 Å
α = 90.00°, β = 90.00°, γ = 90.00°
Closest atoms and distances in Å follow each position.
Fractional positions:
Al (0.1950, 0.0337, 0.2500)  4 Cu 2.55-2.67, 4 Si 2.77-2.84
Al (0.1950, 0.4663, 0.7500)  4 Cu 2.55-2.67, 4 Si 2.77-2.84
Al (0.8050, 0.5337, 0.2500)  4 Cu 2.55-2.67, 4 Si 2.77-2.84
Al (0.8050, 0.9663, 0.7500)  4 Cu 2.55-2.67, 4 Si 2.77-2.84
Cu (0.3237, 0.1468, 0.7500)  4 Si 2.51-2.57, 4 Al 2.55-2.67
Cu (0.3237, 0.3532, 0.2500)  4 Si 2.51-2.57, 4 Al 2.55-2.67
Cu (0.6763, 0.6468, 0.7500)  4 Si 2.51-2.57, 4 Al 2.55-2.67
Cu (0.6763, 0.8532, 0.2500)  4 Si 2.51-2.57, 4 Al 2.55-2.67
Si (0.1861, 0.7500, 0.0000)  2 Si 2.39, 4 Cu 2.51-2.57
Si (0.1861, 0.7500, 0.5000)  2 Si 2.39, 4 Cu 2.51-2.57
Si (0.8139, 0.2500, 0.0000)  2 Si 2.39, 4 Cu 2.51-2.57
Si (0.8139, 0.2500, 0.5000)  2 Si 2.39, 4 Cu 2.51-2.57